Crystalline Pa2Be4ZnIr3 at its relaxed geometry. Source: Alexandria via LeMat-Bulk, functional PBE.

**Electronic total energy**: -66.584 eV/cell
**E_form**: -4.83 eV/f.u.
**Volume**: 14.94 A^3/atom
**Crystal system**: tetragonal

The structure in POSCAR format:
```
Pa2Be4ZnIr3
1.0
3.848 0.000 0.000
0.000 3.848 0.000
0.000 0.000 10.085
Pa Be Zn Ir
2 4 1 3
Direct
0.000 0.500 0.247 Pa
0.500 0.000 0.753 Pa
0.000 0.000 0.000 Be
0.000 0.500 0.628 Be
0.500 0.000 0.372 Be
0.500 0.500 0.000 Be
0.000 0.000 0.500 Zn
0.000 0.500 0.863 Ir
0.500 0.000 0.137 Ir
0.500 0.500 0.500 Ir
```



Crystalline Rb2Au2I at its relaxed geometry. Source: Alexandria via LeMat-Bulk, functional PBE.

**Electronic total energy**: -12.439 eV/cell
**Volume**: 39.74 A^3/atom
**Uncorrected formation energy**: -0.4799 eV per atom
**Crystal system**: tetragonal

The structure in POSCAR format:
```
Rb2Au2I
1.0
-3.358 3.358 4.406
3.358 -3.358 4.406
3.358 3.358 -4.406
Rb Au I
2 2 1
Direct
0.250 0.750 0.500 Rb
0.750 0.250 0.500 Rb
0.152 0.152 0.000 Au
0.848 0.848 0.000 Au
0.500 0.500 0.000 I
```



Crystalline AlGaF at its relaxed geometry. Source: Alexandria via LeMat-Bulk, functional PBE.

**Electronic total energy**: -23.873 eV/cell
**Volume**: 16.06 A^3/atom
**Uncorrected formation energy**: -1.0986 eV per atom
**Crystal system**: orthorhombic

The structure in POSCAR format:
```
AlGaF
1.0
12.725 0.000 0.000
0.000 1.393 2.718
0.000 -1.393 2.718
Al Ga F
2 2 2
Direct
0.182 0.000 0.000 Al
0.818 0.000 0.000 Al
0.000 0.665 0.665 Ga
0.500 0.509 0.509 Ga
0.294 0.505 0.505 F
0.706 0.505 0.505 F
```



Crystalline ZrCr2Ge2 at its relaxed geometry. Source: Alexandria via LeMat-Bulk, functional PBE.

**Electronic total energy**: -37.194 eV/cell
**E_form**: -0.16 eV/f.u.
**Volume**: 16.16 A^3/atom
**Crystal system**: tetragonal

The structure in POSCAR format:
```
ZrCr2Ge2
1.0
-2.202 2.202 4.165
2.202 -2.202 4.165
2.202 2.202 -4.165
Zr Cr Ge
1 2 2
Direct
0.000 0.000 0.000 Zr
0.384 0.384 0.000 Cr
0.616 0.616 0.000 Cr
0.250 0.750 0.500 Ge
0.750 0.250 0.500 Ge
```



Crystalline NaTe2O2 at its relaxed geometry. Source: Alexandria via LeMat-Bulk, functional PBE.

**Electronic total energy**: -16.934 eV/cell
**Volume**: 21.40 A^3/atom
**Uncorrected formation energy**: 0.1169 eV per atom
**Crystal system**: tetragonal

The structure in POSCAR format:
```
NaTe2O2
1.0
-2.009 2.009 6.629
2.009 -2.009 6.629
2.009 2.009 -6.629
Na Te O
1 2 2
Direct
0.000 0.000 0.000 Na
0.250 0.750 0.500 Te
0.750 0.250 0.500 Te
0.381 0.381 0.000 O
0.619 0.619 0.000 O
```



Crystalline NpNbVRe at its relaxed geometry. Source: Alexandria via LeMat-Bulk, functional PBE.

**Electronic total energy**: -43.643 eV/cell
**E_form**: 0.93 eV/f.u.
**Volume**: 16.87 A^3/atom
**Crystal system**: cubic

The structure in POSCAR format:
```
NpNbVRe
1.0
0.000 3.231 3.231
3.231 0.000 3.231
3.231 3.231 0.000
Np Nb V Re
1 1 1 1
Direct
0.000 0.000 0.000 Np
0.250 0.250 0.250 Nb
0.750 0.750 0.750 V
0.500 0.500 0.500 Re
```



Crystalline Rb4CuSe2 at its relaxed geometry. Source: Alexandria via LeMat-Bulk, functional PBE.

**Electronic total energy**: -19.874 eV/cell
**Volume**: 42.87 A^3/atom
**Uncorrected formation energy**: -0.7054 eV per atom
**Crystal system**: trigonal

The structure in POSCAR format:
```
Rb4CuSe2
1.0
2.965 1.712 9.852
-2.965 1.712 9.852
0.000 -3.424 9.852
Rb Cu Se
4 1 2
Direct
0.116 0.116 0.116 Rb
0.295 0.295 0.295 Rb
0.705 0.705 0.705 Rb
0.884 0.884 0.884 Rb
0.500 0.500 0.500 Cu
0.423 0.423 0.423 Se
0.577 0.577 0.577 Se
```



Crystalline AlAu at its relaxed geometry. Source: Alexandria via LeMat-Bulk, functional PBE.

**Electronic total energy**: -22.605 eV/cell
**E_form**: -0.51 eV/f.u.
**Volume**: 17.00 A^3/atom
**Crystal system**: monoclinic

The structure in POSCAR format:
```
AlAu
1.0
5.907 -1.602 0.000
5.907 1.602 0.000
-1.345 0.000 5.388
Al Au
3 3
Direct
0.000 0.000 0.000 Al
0.000 0.000 0.474 Al
0.320 0.320 0.143 Al
0.360 0.360 0.670 Au
0.652 0.652 0.813 Au
0.666 0.666 0.319 Au
```